No. 1
Material: CsZrW2
Method: DFT, PBE
State: optimized geometry

Properties
The calculation puts the density of states at the Fermi level at 6.92 states/eV/f.u. The calculated formation energy is 2.02 eV/atom. The energy above the most stable polymorph in this dataset is 0.00 eV per formula unit. The energy is -6.8037 eV per atom. Its space group is Fm-3m, No. 225.

a = 4.9200 Å, b = 4.9200 Å, c = 4.9200 Å
α = 60.00°, β = 60.00°, γ = 60.00°
Last column: nearest neighbours and their distance in Å.
Atoms (fractional coordinates):
W 0.2500 0.2500 0.2500  4 Cs 3.01, 4 Zr 3.01
W 0.7500 0.7500 0.7500  4 Zr 3.01, 4 Cs 3.01
Zr 0.0000 0.0000 0.0000  8 W 3.01
Cs 0.5000 0.5000 0.5000  8 W 3.01

---

No. 2
Material: Cs3ZrW
Method: DFT, PBE
State: optimized geometry

Properties
The calculation puts the density of states at the Fermi level at 30.98 states/eV/f.u. The calculated formation energy is 2.82 eV/atom. The energy is -1.9909 eV per atom. Its space group is Pm-3m, No. 221.

a = 6.3716 Å, b = 6.3716 Å, c = 6.3716 Å
α = 90.00°, β = 90.00°, γ = 90.00°
Last column: nearest neighbours and their distance in Å.
Atoms (fractional coordinates):
Zr 0.0000 0.0000 0.0000  6 Cs 3.19
Cs 0.0000 0.5000 0.0000  2 Zr 3.19
Cs 0.5000 0.0000 0.0000  2 Zr 3.19
Cs 0.0000 0.0000 0.5000  2 Zr 3.19
W 0.5000 0.5000 0.5000  12 Cs 4.51

---

No. 3
Material: CsY
Method: DFT, PBE
State: optimized geometry

Properties
The calculation puts the density of states at the Fermi level at 3.64 states/eV/f.u. The calculated formation energy is 0.69 eV/atom. The energy is -2.9706 eV per atom. Its space group is Pmn2_1, No. 31.

a = 15.9278 Å, b = 5.8316 Å, c = 7.5597 Å
α = 90.00°, β = 90.00°, γ = 90.00°
Last column: nearest neighbours and their distance in Å.
Atoms (fractional coordinates):
Cs 0.5000 0.5096 0.5829  4 Y 4.12, 4 Cs 4.18-4.19
Cs 0.3115 0.0087 0.5848  4 Cs 4.18-4.26, 2 Y 4.41-4.44
Cs 0.0000 0.4904 0.0829  4 Y 4.12, 4 Cs 4.18-4.19
Cs 0.8115 0.9913 0.0848  4 Cs 4.18-4.26, 2 Y 4.41-4.44
Cs 0.1885 0.9913 0.0848  4 Cs 4.18-4.26, 2 Y 4.41-4.44
Cs 0.6885 0.0087 0.5848  4 Cs 4.18-4.26, 2 Y 4.41-4.44
Y 0.1026 0.5048 0.5831  3 Y 3.27-3.35
Y 0.8974 0.5048 0.5831  3 Y 3.27-3.35
Y 0.3974 0.4952 0.0831  3 Y 3.27-3.35
Y 0.0000 0.0035 0.5833  4 Y 3.34-3.35
Y 0.6026 0.4952 0.0831  3 Y 3.27-3.35
Y 0.5000 0.9965 0.0833  4 Y 3.34-3.35

---

No. 4
Material: CsY
Method: DFT, PBE
State: optimized geometry

Properties
The calculation puts the density of states at the Fermi level at 3.06 states/eV/f.u. The calculated formation energy is 0.48 eV/atom. The energy is -3.1767 eV per atom. Its space group is Pnma, No. 62.

a = 15.2118 Å, b = 3.8997 Å, c = 15.5045 Å
α = 90.00°, β = 90.00°, γ = 90.00°
Last column: nearest neighbours and their distance in Å.
Atoms (fractional coordinates):
Y 0.4206 0.7500 0.0380  5 Y 3.32-3.45
Y 0.3794 0.2500 0.8591  3 Y 3.44-3.45
Y 0.6206 0.7500 0.1409  3 Y 3.44-3.45
Y 0.8794 0.2500 0.6409  3 Y 3.44-3.45
Y 0.9206 0.7500 0.4620  5 Y 3.32-3.45
Y 0.5794 0.2500 0.9620  5 Y 3.32-3.45
Y 0.0794 0.2500 0.5380  5 Y 3.32-3.45
Y 0.1206 0.7500 0.3591  3 Y 3.44-3.45
Cs 0.3882 0.2500 0.2898  2 Cs 3.90
Cs 0.1643 0.2500 0.0758  2 Cs 3.90
Cs 0.6643 0.2500 0.4242  2 Cs 3.90
Cs 0.3357 0.7500 0.5758  2 Cs 3.90
Cs 0.1118 0.7500 0.7897  2 Cs 3.90
Cs 0.8357 0.7500 0.9242  2 Cs 3.90
Cs 0.6118 0.7500 0.7103  2 Cs 3.90
Cs 0.8882 0.2500 0.2102  2 Cs 3.90

---

No. 5
Material: CsY
Method: DFT, PBE
State: optimized geometry

Properties
The calculation puts the density of states at the Fermi level at 5.09 states/eV/f.u. The calculated formation energy is 0.95 eV/atom. The energy is -2.7118 eV per atom. Its space group is I-43m, No. 217.

a = 12.6023 Å, b = 12.6023 Å, c = 12.6023 Å
α = 90.00°, β = 90.00°, γ = 90.00°
Last column: nearest neighbours and their distance in Å.
Atoms (fractional coordinates):
Y 0.0898 0.9102 0.9102  3 Y 3.20
Y 0.9102 0.9102 0.0898  3 Y 3.20
Y 0.5898 0.5898 0.5898  3 Y 3.20
Y 0.0898 0.0898 0.0898  3 Y 3.20
Y 0.9102 0.0898 0.9102  3 Y 3.20
Y 0.4102 0.5898 0.4102  3 Y 3.20
Y 0.5898 0.4102 0.4102  3 Y 3.20
Y 0.4102 0.4102 0.5898  3 Y 3.20
Cs 0.7111 0.2889 0.7111  4 Y 4.35-4.37
Cs 0.2889 0.2889 0.2889  4 Y 4.35-4.37
Cs 0.7889 0.7889 0.7889  4 Y 4.35-4.37
Cs 0.7889 0.2111 0.2111  4 Y 4.35-4.37
Cs 0.2111 0.7889 0.2111  4 Y 4.35-4.37
Cs 0.2111 0.2111 0.7889  4 Y 4.35-4.37
Cs 0.2889 0.7111 0.7111  4 Y 4.35-4.37
Cs 0.7111 0.7111 0.2889  4 Y 4.35-4.37

---

No. 6
Material: CsY
Method: DFT, PBE
State: optimized geometry

Properties
The calculation puts the density of states at the Fermi level at 3.27 states/eV/f.u. The calculated formation energy is 0.51 eV/atom. The energy is -3.1503 eV per atom. Its space group is Pmmn, No. 59.

a = 15.9929 Å, b = 11.7739 Å, c = 3.8629 Å
α = 90.00°, β = 90.00°, γ = 90.00°
Last column: nearest neighbours and their distance in Å.
Atoms (fractional coordinates):
Cs 0.0000 0.6915 0.5000  2 Cs 3.86, 2 Y 4.22
Cs 0.6672 0.6901 0.5000  2 Cs 3.86, 2 Y 4.22-4.23
Cs 0.3328 0.6901 0.5000  2 Cs 3.86, 2 Y 4.22-4.23
Cs 0.8328 0.3099 0.0000  2 Cs 3.86, 2 Y 4.22-4.23
Cs 0.5000 0.3085 0.0000  2 Cs 3.86, 2 Y 4.22
Cs 0.1672 0.3099 0.0000  2 Cs 3.86, 2 Y 4.22-4.23
Y 0.3335 0.0304 0.0000  4 Y 3.37
Y 0.6665 0.0304 0.0000  4 Y 3.37
Y 0.0000 0.0323 0.0000  4 Y 3.37
Y 0.1665 0.9696 0.5000  4 Y 3.37
Y 0.5000 0.9677 0.5000  4 Y 3.37
Y 0.8335 0.9696 0.5000  4 Y 3.37

---

No. 7
Material: CsY
Method: DFT, PBE
State: optimized geometry

Properties
The calculation puts the density of states at the Fermi level at 2.44 states/eV/f.u. The calculated formation energy is 0.67 eV/atom. The energy is -2.9924 eV per atom. Its space group is P6_3mc, No. 186.

a = 3.7355 Å, b = 3.7355 Å, c = 14.8136 Å
α = 90.00°, β = 90.00°, γ = 120.00°
Last column: nearest neighbours and their distance in Å.
Atoms (fractional coordinates):
Y 0.6667 0.3333 0.9204  1 Cs 3.57, 6 Y 3.74
Y 0.3333 0.6667 0.4204  1 Cs 3.57, 6 Y 3.74
Cs 0.3333 0.6667 0.6616  1 Y 3.57, 6 Cs 3.74
Cs 0.6667 0.3333 0.1616  1 Y 3.57, 6 Cs 3.74

---

No. 8
Material: CsY
Method: DFT, PBE
State: optimized geometry

Properties
The calculation puts the density of states at the Fermi level at 1.84 states/eV/f.u. The calculated formation energy is 1.38 eV/atom. The energy is -2.2824 eV per atom. Its space group is Fm-3m, No. 225.

a = 7.6254 Å, b = 7.6254 Å, c = 7.6254 Å
α = 90.00°, β = 90.00°, γ = 90.00°
Last column: nearest neighbours and their distance in Å.
Atoms (fractional coordinates):
Cs 0.5000 0.0000 0.0000  6 Y 3.81
Cs 0.0000 0.0000 0.5000  6 Y 3.81
Cs 0.0000 0.5000 0.0000  6 Y 3.81
Cs 0.5000 0.5000 0.5000  6 Y 3.81
Y 0.0000 0.5000 0.5000  6 Cs 3.81
Y 0.5000 0.5000 0.0000  6 Cs 3.81
Y 0.5000 0.0000 0.5000  6 Cs 3.81
Y 0.0000 0.0000 0.0000  6 Cs 3.81